Entry from Alexandria: an optimized crystal structure of CdRh2Br (PBE).

Results
calculated volume	18.21	A^3/atom
DOS at the Fermi energy	0.98	states/eV/atom
formation energy without anion corrections	0.5717	eV/atom
space group	F-43m

Cell lengths 4.6873, 4.6873, 4.6873 Å; angles 60.00, 60.00, 60.00 degrees
Last column: nearest neighbours and their distance in Å.
Positions (direct):
Cd 0.0000 0.0000 0.0000  4 Br 2.87, 4 Rh 2.87
Rh 0.2500 0.2500 0.2500  4 Cd 2.87, 4 Rh 2.87
Rh 0.5000 0.5000 0.5000  4 Br 2.87, 4 Rh 2.87
Br 0.7500 0.7500 0.7500  4 Cd 2.87, 4 Rh 2.87



Entry from Alexandria: an optimized crystal structure of Cd3RhBr (PBE).

Results
calculated volume	30.45	A^3/atom
DOS at the Fermi energy	1.76	states/eV/atom
formation energy without anion corrections	1.1153	eV/atom
space group	Pm-3m

Cell lengths 5.3394, 5.3394, 5.3394 Å; angles 90.00, 90.00, 90.00 degrees
Last column: nearest neighbours and their distance in Å.
Positions (direct):
Cd 0.0000 0.0000 0.5000  2 Br 2.67
Cd 0.0000 0.5000 0.0000  2 Br 2.67
Cd 0.5000 0.0000 0.0000  2 Br 2.67
Rh 0.5000 0.5000 0.5000  12 Cd 3.78
Br 0.0000 0.0000 0.0000  6 Cd 2.67



Entry from Alexandria: an optimized crystal structure of CdRhBr2 (PBE).

Results
calculated volume	21.53	A^3/atom
DOS at the Fermi energy	0.82	states/eV/atom
formation energy without anion corrections	0.2921	eV/atom
space group	Fm-3m

Cell lengths 4.9565, 4.9565, 4.9565 Å; angles 60.00, 60.00, 60.00 degrees
Last column: nearest neighbours and their distance in Å.
Positions (direct):
Cd 0.0000 0.0000 0.0000  8 Br 3.04
Rh 0.5000 0.5000 0.5000  8 Br 3.04
Br 0.2500 0.2500 0.2500  4 Cd 3.04, 4 Rh 3.04
Br 0.7500 0.7500 0.7500  4 Rh 3.04, 4 Cd 3.04



Entry from Alexandria: an optimized crystal structure of Cd2RhBr (PBE).

Results
calculated volume	32.18	A^3/atom
DOS at the Fermi energy	0.05	states/eV/atom
formation energy without anion corrections	0.2868	eV/atom
space group	I-42d

Cell lengths 7.4664, 7.4664, 7.4664 Å; angles 126.95, 126.95, 78.33 degrees
Last column: nearest neighbours and their distance in Å.
Positions (direct):
Cd 0.0868 0.6250 0.9618  2 Rh 2.62, 2 Br 2.93
Cd 0.3750 0.3368 0.4618  2 Rh 2.62, 2 Br 2.93
Cd 0.6632 0.1250 0.0382  2 Rh 2.62, 2 Br 2.93
Cd 0.8750 0.9132 0.5382  2 Rh 2.62, 2 Br 2.93
Rh 0.0000 0.0000 0.0000  4 Cd 2.62
Rh 0.7500 0.2500 0.5000  4 Cd 2.62
Br 0.2500 0.7500 0.5000  4 Cd 2.93
Br 0.5000 0.5000 0.0000  4 Cd 2.93



Entry from Alexandria: an optimized crystal structure of Cd2RhBr (PBE).

Results
calculated volume	20.70	A^3/atom
DOS at the Fermi energy	0.01	states/eV/atom
formation energy without anion corrections	0.3270	eV/atom
space group	Fm-3m

Cell lengths 4.8927, 4.8927, 4.8927 Å; angles 60.00, 60.00, 60.00 degrees
Last column: nearest neighbours and their distance in Å.
Positions (direct):
Cd 0.2500 0.2500 0.2500  4 Br 3.00, 4 Rh 3.00
Cd 0.7500 0.7500 0.7500  4 Br 3.00, 4 Rh 3.00
Rh 0.0000 0.0000 0.0000  8 Cd 3.00
Br 0.5000 0.5000 0.5000  8 Cd 3.00



Entry from Alexandria: an optimized crystal structure of CdRhBr (PBE).

Results
calculated volume	21.72	A^3/atom
DOS at the Fermi energy	0.93	states/eV/atom
formation energy without anion corrections	0.1793	eV/atom
space group	P-6m2

Cell lengths 3.3425, 3.3425, 13.4722 Å; angles 90.00, 90.00, 120.00 degrees
Last column: nearest neighbours and their distance in Å.
Positions (direct):
Cd 0.0000 0.0000 0.0000  6 Rh 2.85
Cd 0.0000 0.0000 0.5000  6 Cd 3.34, 6 Br 3.53
Rh 0.3333 0.6667 0.1553  3 Br 2.56, 3 Cd 2.85
Rh 0.3333 0.6667 0.8447  3 Br 2.56, 3 Cd 2.85
Br 0.6667 0.3333 0.2802  3 Rh 2.56
Br 0.6667 0.3333 0.7198  3 Rh 2.56



The evaluated E above lowest polymorph for the records listed, in turn: 1.76; 5.21; 2.09; 1.84; 2.00; 0.13 eV/f.u..